# 1
Material: LiV3Cu
Method: DFT, PBE
State: relaxed

Structure (POSCAR):
```
LiV3Cu
1.0
4.084 0.000 0.000
0.000 4.084 0.000
0.000 0.000 4.084
Li V Cu
1 3 1
Direct
0.000 0.000 0.000 Li
0.000 0.000 0.500 V
0.000 0.500 0.000 V
0.500 0.000 0.000 V
0.500 0.500 0.500 Cu
```

**ΔH_f (0 K)**: 1266 meV/atom
**D(E_F)**: 7.936 states/eV/f.u.
**Spin magnetization**: 1.351 μB per formula unit

***

# 2
Material: In5Bi3S12
Method: DFT, PBE
State: relaxed

Structure (POSCAR):
```
In5Bi3S12
1.0
-7.952 7.952 7.952
7.952 -7.952 7.952
7.952 7.952 -7.952
In Bi S
20 12 48
Direct
0.000 0.000 0.000 In
0.000 0.000 0.500 In
0.000 0.500 0.000 In
0.000 0.500 0.500 In
0.125 0.750 0.875 In
0.125 0.875 0.250 In
0.250 0.125 0.875 In
0.250 0.625 0.375 In
0.375 0.250 0.625 In
0.375 0.625 0.750 In
0.500 0.000 0.000 In
0.500 0.000 0.500 In
0.500 0.500 0.000 In
0.500 0.500 0.500 In
0.625 0.375 0.250 In
0.625 0.750 0.375 In
0.750 0.375 0.625 In
0.750 0.875 0.125 In
0.875 0.125 0.750 In
0.875 0.250 0.125 In
0.125 0.250 0.375 Bi
0.125 0.375 0.750 Bi
0.250 0.375 0.125 Bi
0.250 0.875 0.625 Bi
0.375 0.125 0.250 Bi
0.375 0.750 0.125 Bi
0.625 0.250 0.875 Bi
0.625 0.875 0.750 Bi
0.750 0.125 0.375 Bi
0.750 0.625 0.875 Bi
0.875 0.625 0.250 Bi
0.875 0.750 0.625 Bi
0.040 0.215 0.129 S
0.040 0.326 0.912 S
0.086 0.715 0.674 S
0.086 0.871 0.412 S
0.088 0.629 0.414 S
0.088 0.960 0.674 S
0.129 0.040 0.215 S
0.129 0.588 0.914 S
0.174 0.215 0.586 S
0.174 0.460 0.588 S
0.215 0.129 0.040 S
0.215 0.586 0.174 S
0.285 0.326 0.914 S
0.285 0.460 0.371 S
0.326 0.912 0.040 S
0.326 0.914 0.285 S
0.371 0.285 0.460 S
0.371 0.586 0.912 S
0.412 0.086 0.871 S
0.412 0.826 0.540 S
0.414 0.088 0.629 S
0.414 0.826 0.785 S
0.460 0.371 0.285 S
0.460 0.588 0.174 S
0.540 0.412 0.826 S
0.540 0.629 0.715 S
0.586 0.174 0.215 S
0.586 0.912 0.371 S
0.588 0.174 0.460 S
0.588 0.914 0.129 S
0.629 0.414 0.088 S
0.629 0.715 0.540 S
0.674 0.086 0.715 S
0.674 0.088 0.960 S
0.715 0.540 0.629 S
0.715 0.674 0.086 S
0.785 0.414 0.826 S
0.785 0.871 0.960 S
0.826 0.540 0.412 S
0.826 0.785 0.414 S
0.871 0.412 0.086 S
0.871 0.960 0.785 S
0.912 0.040 0.326 S
0.912 0.371 0.586 S
0.914 0.129 0.588 S
0.914 0.285 0.326 S
0.960 0.674 0.088 S
0.960 0.785 0.871 S
```

**D(E_F)**: 0.000 states/eV/f.u.
**Formation energy without anion corrections**: -40.6 kJ per mole of atoms
**Spin magnetization**: 0.000 μB per formula unit

***

# 3
Material: AcPrMoN4
Method: DFT, PBE
State: relaxed

Structure (POSCAR):
```
AcPrMoN4
1.0
6.045 0.000 0.000
0.000 6.021 0.000
-2.318 0.000 6.839
Ac Pr Mo N
2 2 2 8
Direct
0.222 0.250 0.435 Ac
0.778 0.750 0.565 Ac
0.310 0.250 0.969 Pr
0.690 0.750 0.031 Pr
0.242 0.750 0.187 Mo
0.758 0.250 0.813 Mo
0.043 0.750 0.340 N
0.059 0.750 0.928 N
0.453 0.508 0.244 N
0.453 0.992 0.244 N
0.547 0.008 0.756 N
0.547 0.492 0.756 N
0.941 0.250 0.072 N
0.957 0.250 0.660 N
```

**D(E_F)**: 0.000 states/eV/f.u.
**Formation energy without anion corrections**: -97.2 kJ per mole of atoms
**Spin magnetization**: 0.000 μB per formula unit

***

Copy entry 2 word for word.
Material: In5Bi3S12
Method: DFT, PBE
State: relaxed

Structure (POSCAR):
```
In5Bi3S12
1.0
-7.952 7.952 7.952
7.952 -7.952 7.952
7.952 7.952 -7.952
In Bi S
20 12 48
Direct
0.000 0.000 0.000 In
0.000 0.000 0.500 In
0.000 0.500 0.000 In
0.000 0.500 0.500 In
0.125 0.750 0.875 In
0.125 0.875 0.250 In
0.250 0.125 0.875 In
0.250 0.625 0.375 In
0.375 0.250 0.625 In
0.375 0.625 0.750 In
0.500 0.000 0.000 In
0.500 0.000 0.500 In
0.500 0.500 0.000 In
0.500 0.500 0.500 In
0.625 0.375 0.250 In
0.625 0.750 0.375 In
0.750 0.375 0.625 In
0.750 0.875 0.125 In
0.875 0.125 0.750 In
0.875 0.250 0.125 In
0.125 0.250 0.375 Bi
0.125 0.375 0.750 Bi
0.250 0.375 0.125 Bi
0.250 0.875 0.625 Bi
0.375 0.125 0.250 Bi
0.375 0.750 0.125 Bi
0.625 0.250 0.875 Bi
0.625 0.875 0.750 Bi
0.750 0.125 0.375 Bi
0.750 0.625 0.875 Bi
0.875 0.625 0.250 Bi
0.875 0.750 0.625 Bi
0.040 0.215 0.129 S
0.040 0.326 0.912 S
0.086 0.715 0.674 S
0.086 0.871 0.412 S
0.088 0.629 0.414 S
0.088 0.960 0.674 S
0.129 0.040 0.215 S
0.129 0.588 0.914 S
0.174 0.215 0.586 S
0.174 0.460 0.588 S
0.215 0.129 0.040 S
0.215 0.586 0.174 S
0.285 0.326 0.914 S
0.285 0.460 0.371 S
0.326 0.912 0.040 S
0.326 0.914 0.285 S
0.371 0.285 0.460 S
0.371 0.586 0.912 S
0.412 0.086 0.871 S
0.412 0.826 0.540 S
0.414 0.088 0.629 S
0.414 0.826 0.785 S
0.460 0.371 0.285 S
0.460 0.588 0.174 S
0.540 0.412 0.826 S
0.540 0.629 0.715 S
0.586 0.174 0.215 S
0.586 0.912 0.371 S
0.588 0.174 0.460 S
0.588 0.914 0.129 S
0.629 0.414 0.088 S
0.629 0.715 0.540 S
0.674 0.086 0.715 S
0.674 0.088 0.960 S
0.715 0.540 0.629 S
0.715 0.674 0.086 S
0.785 0.414 0.826 S
0.785 0.871 0.960 S
0.826 0.540 0.412 S
0.826 0.785 0.414 S
0.871 0.412 0.086 S
0.871 0.960 0.785 S
0.912 0.040 0.326 S
0.912 0.371 0.586 S
0.914 0.129 0.588 S
0.914 0.285 0.326 S
0.960 0.674 0.088 S
0.960 0.785 0.871 S
```

**D(E_F)**: 0.000 states/eV/f.u.
**Formation energy without anion corrections**: -40.6 kJ per mole of atoms
**Spin magnetization**: 0.000 μB per formula unit

***

Question: Which of these has the highest spin magnetization?
Answer: LiV3Cu